No. 1
The following is a DFT calculation (PBE) of a geometry-optimized Fe2Pt7Rh2 structure.

The structure belongs to space group C2/m (No. 12); the cell edges are 7.172, 7.356 and 6.581 Å and the angles 90.00°, 100.25° and 90.00°. The distinct sites, in fractional coordinates, are Fe at (0.166, 0.000, 0.426), Pt at (0.000, 0.000, 0.000), Pt at (0.113, 0.500, 0.847), Pt at (0.222, 0.316, 0.210) and Rh at (0.000, 0.303, 0.500).

The calculated volume comes out at 15.5 Å³/atom. Its formation enthalpy at 0 K is 37 meV/atom. Its total energy is -73.5 eV/f.u. The magnetization comes out at 17.7 μB per cell.

---

No. 2
The following is a DFT calculation (PBE) of a geometry-optimized KBa2LiW structure.

The structure belongs to space group P4/mmm (No. 123); the cell edges are 6.061, 6.061 and 6.662 Å and the angles 90.00°, 90.00° and 90.00°. The distinct sites, in fractional coordinates, are K at (0.000, 0.000, 0.000), Ba at (0.000, 0.500, 0.500), Li at (0.500, 0.500, 0.000) and W at (0.000, 0.000, 0.500).

The calculated volume comes out at 48.9 Å³/atom. Its formation enthalpy at 0 K is 1134 meV/atom. Its total energy is -14.1 eV/f.u. The magnetization comes out at 1.9 μB per cell.

---

Question: Which value of magnetization does entry 1 give?
Answer: 17.7 μB per cell

---

Repeat the first record exactly.
The following is a DFT calculation (PBE) of a geometry-optimized Fe2Pt7Rh2 structure.

The structure belongs to space group C2/m (No. 12); the cell edges are 7.172, 7.356 and 6.581 Å and the angles 90.00°, 100.25° and 90.00°. The distinct sites, in fractional coordinates, are Fe at (0.166, 0.000, 0.426), Pt at (0.000, 0.000, 0.000), Pt at (0.113, 0.500, 0.847), Pt at (0.222, 0.316, 0.210) and Rh at (0.000, 0.303, 0.500).

The calculated volume comes out at 15.5 Å³/atom. Its formation enthalpy at 0 K is 37 meV/atom. Its total energy is -73.5 eV/f.u. The magnetization comes out at 17.7 μB per cell.

---

Question: Which formula does entry 2 have?
Answer: KBa2LiW

---

Question: Which of these has the lowest calculated volume?
Answer: Fe2Pt7Rh2